{
  "formula": "CrTc2B",
  "functional": "PBE",
  "state": "optimized geometry",
  "lattice": [[10.2930, 0.0000, 0.0000], [0.0000, 2.9199, 0.0000], [-0.5536, 0.0000, 6.2339]],
  "species": ["Cr", "Cr", "Cr", "Cr", "Tc", "Tc", "Tc", "Tc", "Tc", "Tc", "Tc", "Tc", "B", "B", "B", "B"],
  "fractional_positions": [[0.1354, 0.0000, 0.4688], [0.3646, 0.5000, 0.5312], [0.6354, 0.5000, 0.4688], [0.8646, 0.0000, 0.5312], [0.0328, 0.5000, 0.7740], [0.2383, 0.5000, 0.1855], [0.2617, 0.0000, 0.8145], [0.4672, 0.0000, 0.2260], [0.5328, 0.0000, 0.7740], [0.7383, 0.0000, 0.1855], [0.7617, 0.5000, 0.8145], [0.9672, 0.5000, 0.2260], [0.0879, 0.0000, 0.0517], [0.4121, 0.5000, 0.9483], [0.5879, 0.5000, 0.0517], [0.9121, 0.0000, 0.9483]],
  "spacegroup": "C2/m"
}

***

{
  "formula": "Nb3VCd",
  "functional": "PBE",
  "state": "optimized geometry",
  "lattice": [[4.6753, 0.0000, 0.0000], [0.0000, 4.6753, 0.0000], [0.0000, 0.0000, 4.6753]],
  "species": ["Nb", "Nb", "Nb", "V", "Cd"],
  "fractional_positions": [[0.0000, 0.0000, 0.5000], [0.0000, 0.5000, 0.0000], [0.5000, 0.0000, 0.0000], [0.0000, 0.0000, 0.0000], [0.5000, 0.5000, 0.5000]],
  "e_above_lowest_polymorph_mev_per_atom": 0.0,
  "spacegroup": "Pm-3m"
}

***

{
  "formula": "CuPdRh2",
  "functional": "PBE",
  "state": "optimized geometry",
  "lattice": [[3.7889, 0.0000, 0.0000], [0.0000, 3.7889, 0.0000], [0.0000, 0.0000, 3.9205]],
  "species": ["Cu", "Pd", "Rh", "Rh"],
  "fractional_positions": [[0.0000, 0.0000, 0.0000], [0.5000, 0.5000, 0.0000], [0.0000, 0.5000, 0.5000], [0.5000, 0.0000, 0.5000]],
  "spacegroup": "P4/mmm"
}

***

Number 1: energy relative to the elements -0.140 eV/atom, total DFT energy (no corrections) -9.3986 eV per atom. Number 2: energy relative to the elements 0.861 eV/atom, total DFT energy (no corrections) -7.1877 eV per atom. Number 3: energy relative to the elements 0.078 eV/atom, total DFT energy (no corrections) -5.9203 eV per atom.